Entry 1:
## UFe4Ru (PBE)

Data for an optimized crystal structure of UFe4Ru.

Calculated values
The value obtained for the energy of formation is 56 meV per atom. The calculation puts the total energy at -9.013 eV per atom. Its calculated density is 11.26 g/cm3.

abc: 4.8946 4.8946 4.8946
angles: 60.00 60.00 60.00
Fractional coordinates of all 6 atoms:
U  0.2500  0.2500  0.2500
Fe  0.6258  0.6258  0.6258
Fe  0.1227  0.6258  0.6258
Fe  0.6258  0.1227  0.6258
Fe  0.6258  0.6258  0.1227
Ru  0.0000  0.0000  0.0000


Entry 2:
## NaReNiRh2 (PBE)

Data for an optimized crystal structure of NaReNiRh2.

Calculated values
The value obtained for the energy of formation is 1931 meV per atom. The calculation puts the total energy at -4.919 eV per atom. Its calculated density is 9.88 g/cm3.

abc: 4.4040 4.1041 4.4040
angles: 90.00 90.00 90.00
Fractional coordinates of all 5 atoms:
Ni  0.0000  0.5000  0.0000
Rh  0.0000  0.0000  0.5000
Rh  0.5000  0.0000  0.0000
Na  0.0000  0.0000  0.0000
Re  0.5000  0.5000  0.5000


Entry 3:
## PmYEr5 (PBE)

Data for an optimized crystal structure of PmYEr5.

Calculated values
Its polymorph energy (0 for the lowest one) is 6.528 eV/f.u. The value obtained for the energy of formation is 1125 meV per atom. The calculation puts the total energy at -3.736 eV per atom. Its calculated density is 6.05 g/cm3.

abc: 5.7597 7.8750 7.8750
angles: 65.97 68.55 68.55
Fractional coordinates of all 7 atoms:
Y  0.0000  0.0000  0.0000
Er  0.5000  0.1778  0.8222
Er  0.7433  0.2567  0.2567
Er  0.5000  0.8222  0.1778
Er  0.2567  0.7433  0.7433
Er  0.0000  0.5000  0.5000
Pm  0.5000  0.5000  0.5000


Entry 4:
## Cu5As2O12 (PBE)

Data for an optimized crystal structure of Cu5As2O12.

Calculated values
Its uncorrected formation energy is -0.38 eV per atom. Its polymorph energy (0 for the lowest one) is 5.734 eV/f.u. The calculation puts the total energy at -5.080 eV per atom. Its calculated density is 4.29 g/cm3.

abc: 5.6968 7.2538 8.6650
angles: 51.03 96.63 77.09
Fractional coordinates of all 19 atoms:
As  0.2720  0.0112  0.0518
As  0.7280  0.9888  0.9482
Cu  0.7565  0.4917  0.4978
Cu  0.6930  0.0363  0.3039
Cu  0.2435  0.5083  0.5022
Cu  0.3070  0.9637  0.6961
Cu  0.0000  0.5000  0.0000
O  0.6686  0.7466  0.7493
O  0.2023  0.0950  0.3913
O  0.3314  0.2534  0.2507
O  0.4073  0.7397  0.3328
O  0.9336  0.2452  0.2526
O  0.5211  0.1556  0.0154
O  0.0664  0.7548  0.7474
O  0.5927  0.2603  0.6672
O  0.9038  0.7380  0.3578
O  0.4789  0.8444  0.9846
O  0.7977  0.9050  0.6087
O  0.0962  0.2620  0.6422


Entry 5:
## LiTh2P3Ir12 (PBE)

Data for an optimized crystal structure of LiTh2P3Ir12.

Calculated values
The value obtained for the energy of formation is -94 meV per atom. The calculation puts the total energy at -7.833 eV per atom. Its calculated density is 14.77 g/cm3.

abc: 7.2006 7.2006 7.2006
angles: 70.81 70.81 70.81
Fractional coordinates of all 18 atoms:
Ir  0.3420  0.9075  0.3420
Ir  0.6446  0.1397  0.1397
Ir  0.1397  0.6446  0.1397
Ir  0.3420  0.3420  0.9075
Ir  0.1397  0.1397  0.6446
Ir  0.0925  0.6580  0.6580
Ir  0.6580  0.6580  0.0925
Ir  0.3554  0.8603  0.8603
Ir  0.9075  0.3420  0.3420
Ir  0.8603  0.3554  0.8603
Ir  0.8603  0.8603  0.3554
Ir  0.6580  0.0925  0.6580
P  0.0000  0.0000  0.5000
P  0.0000  0.5000  0.0000
P  0.5000  0.0000  0.0000
Th  0.3920  0.3920  0.3920
Th  0.6080  0.6080  0.6080
Li  0.0000  0.0000  0.0000


Entry 6:
## NaLaHf2 (PBE)

Data for an optimized crystal structure of NaLaHf2.

Calculated values
Its polymorph energy (0 for the lowest one) is 0.000 eV/f.u. The value obtained for the energy of formation is 774 meV per atom. The calculation puts the total energy at -5.765 eV per atom. Its calculated density is 8.00 g/cm3.

abc: 4.3603 4.3603 11.7417
angles: 79.30 79.30 90.00
Fractional coordinates of all 8 atoms:
Hf  0.8750  0.8776  0.7500
Hf  0.6276  0.1250  0.2500
Hf  0.1224  0.6250  0.2500
Hf  0.3750  0.3724  0.7500
Na  0.2500  0.7500  0.5000
Na  0.5000  0.5000  0.0000
La  0.7500  0.2500  0.5000
La  0.0000  0.0000  0.0000